(1)
This record from Alexandria describes crystalline Rb2Li2SmCl6 at its relaxed geometry. The functional is PBE.

Cell: 6.9896 6.9896 7.6350 Å, 90.00 90.00 120.00°
Space group P-3 (No. 147)
Asymmetric unit:
Rb1 0.3333 0.6667 0.9996 [2 per cell]
Li1 0.3333 0.6667 0.4987 [2 per cell]
Sm1 0.0000 0.0000 0.5000 [1 per cell]
Cl1 0.0004 0.3533 0.3179 [6 per cell]

Computed properties:
Total DFT energy (no corrections)   -41.351 eV/f.u.

(2)
This record from Alexandria describes crystalline Rb2LiSnCl6 at its relaxed geometry. The functional is PBE.

Cell: 7.4775 7.4775 38.4467 Å, 90.00 90.00 120.00°
Space group R-3m (No. 166, hexagonal axes)
Asymmetric unit:
Rb1 0.0000 0.0000 0.1142 [6 per cell]
Rb2 0.0000 0.0000 0.3045 [6 per cell]
Li1 0.0000 0.0000 0.4084 [6 per cell]
Sn1 0.0000 0.0000 0.0000 [3 per cell]
Sn2 0.0000 0.0000 0.5000 [3 per cell]
Cl1 0.0096 0.5048 0.2885 [18 per cell]
Cl2 0.0240 0.5120 0.1290 [18 per cell]

Computed properties:
Total DFT energy (no corrections)   -34.408 eV/f.u.

(3)
This record from Alexandria describes crystalline Rb2LiSnCl6 at its relaxed geometry. The functional is PBE.

Cell: 7.7638 7.7638 9.0939 Å, 90.00 90.00 90.00°
Space group I4/mmm (No. 139)
Asymmetric unit:
Rb1 0.0000 0.5000 0.2500 [4 per cell]
Li1 0.0000 0.0000 0.0000 [2 per cell]
Sn1 0.0000 0.0000 0.5000 [2 per cell]
Cl1 0.0000 0.0000 0.2303 [4 per cell]
Cl2 0.2419 0.2419 0.5000 [8 per cell]

Computed properties:
Total DFT energy (no corrections)   -33.399 eV/f.u.

(4)
This record from Alexandria describes crystalline RbLiSnCl6 at its relaxed geometry. The functional is PBE.

Cell: 6.6484 6.6484 7.3425 Å, 90.00 90.00 120.00°
Space group P312 (No. 149)
Asymmetric unit:
Rb1 0.0000 0.0000 0.0000 [1 per cell]
Li1 0.3333 0.6667 0.5000 [1 per cell]
Sn1 0.6667 0.3333 0.5000 [1 per cell]
Cl1 0.3789 0.0140 0.6947 [6 per cell]

Computed properties:
Total DFT energy (no corrections)   -30.519 eV/f.u.

(5)
This record from Alexandria describes crystalline Rb2Li2SnCl6 at its relaxed geometry. The functional is PBE.

Cell: 12.7656 7.5849 8.0685 Å, 90.00 116.53 90.00°
Space group C2/m (No. 12)
Asymmetric unit:
Rb1 0.2086 0.0000 0.1705 [4 per cell]
Li1 0.0583 0.5000 0.2613 [4 per cell]
Sn1 0.0000 0.0000 0.5000 [2 per cell]
Cl1 0.0528 0.2504 0.7956 [8 per cell]
Cl2 0.2434 0.0000 0.6019 [4 per cell]

Computed properties:
Total DFT energy (no corrections)   -38.604 eV/f.u.

(6)
This record from Alexandria describes crystalline Rb4LiSn3Cl12 at its relaxed geometry. The functional is PBE.

Cell: 10.8256 10.8256 10.8256 Å, 90.00 90.00 90.00°
Space group Im-3m (No. 229)
Asymmetric unit:
Rb1 0.2500 0.2500 0.2500 [8 per cell]
Li1 0.0000 0.0000 0.0000 [2 per cell]
Sn1 0.0000 0.0000 0.5000 [6 per cell]
Cl1 0.0000 0.0000 0.2479 [12 per cell]
Cl2 0.0000 0.2500 0.5000 [12 per cell]

Computed properties:
Total DFT energy (no corrections)   -68.939 eV/f.u.

(7)
This record from Alexandria describes crystalline Rb3SrLi2Cl6 at its relaxed geometry. The functional is PBE.

Cell: 7.6759 7.6759 8.7607 Å, 90.00 90.00 120.00°
Space group P-3m1 (No. 164)
Asymmetric unit:
Rb1 0.0000 0.0000 0.0000 [1 per cell]
Rb2 0.3333 0.6667 0.6440 [2 per cell]
Sr1 0.0000 0.0000 0.5000 [1 per cell]
Li1 0.3333 0.6667 0.2054 [2 per cell]
Cl1 0.1708 0.3417 0.3012 [6 per cell]

Computed properties:
Total DFT energy (no corrections)   -41.166 eV/f.u.

(8)
This record from Alexandria describes crystalline RbSr2LiCl6 at its relaxed geometry. The functional is PBE.

Cell: 7.4401 7.4401 19.8906 Å, 90.00 90.00 120.00°
Space group R3 (No. 146, hexagonal axes)
Asymmetric unit:
Rb1 0.0000 0.0000 0.0000 [3 per cell]
Sr1 0.0000 0.0000 0.2751 [3 per cell]
Sr2 0.0000 0.0000 0.7906 [3 per cell]
Li1 0.0000 0.0000 0.4651 [3 per cell]
Cl1 0.0146 0.3403 0.5414 [9 per cell]
Cl2 0.0356 0.6119 0.0496 [9 per cell]

Computed properties:
Total DFT energy (no corrections)   -39.289 eV/f.u.

Q: Which formula does entry 2 have?
A: Rb2LiSnCl6

What did the fourth record say?
This record from Alexandria describes crystalline RbLiSnCl6 at its relaxed geometry. The functional is PBE.

Cell: 6.6484 6.6484 7.3425 Å, 90.00 90.00 120.00°
Space group P312 (No. 149)
Asymmetric unit:
Rb1 0.0000 0.0000 0.0000 [1 per cell]
Li1 0.3333 0.6667 0.5000 [1 per cell]
Sn1 0.6667 0.3333 0.5000 [1 per cell]
Cl1 0.3789 0.0140 0.6947 [6 per cell]

Computed properties:
Total DFT energy (no corrections)   -30.519 eV/f.u.

Q: Which of these has the lowest total DFT energy (no corrections)?
A: Rb4LiSn3Cl12

Q: Among the records above, which one has the lowest total DFT energy (no corrections)?
A: Rb4LiSn3Cl12